# CsTeRuPb2, optimized geometry, DFT PBE
data_CsTeRuPb2
_space_group_name_H-M_alt 'P 4/m m m'
_space_group_IT_number 123
_space_group_name_Hall '-P 4 2'
_cell_length_a 5.309
_cell_length_b 5.309
_cell_length_c 5.959
_cell_angle_alpha 90.00
_cell_angle_beta 90.00
_cell_angle_gamma 90.00
loop_
_atom_site_label
_atom_site_fract_x
_atom_site_fract_y
_atom_site_fract_z
Cs1 0.000 0.000 0.000
Te1 0.500 0.500 0.000
Ru1 0.500 0.500 0.500
Pb1 0.000 0.500 0.500
# total magnetization	0.005	Bohr magnetons per cell
# calculated density	7.7	Mg/m³
# E	-4.04	eV per atom